(1)
Computed, not measured: crystalline Pm3Dy2Sb3 at its relaxed geometry at the PBE level of DFT.

The energy comes out at -5.434 eV/atom. As for the total magnetic moment: 0.6 μB/cell.

Cell lengths 9.124, 9.124, 6.410 Å; angles 90.00, 90.00, 120.00 degrees
Fractional coordinates of all 16 atoms:
Pm: 0.000 0.248 0.250
Pm: 0.000 0.752 0.750
Pm: 0.248 0.000 0.250
Pm: 0.248 0.248 0.750
Pm: 0.752 0.000 0.750
Pm: 0.752 0.752 0.250
Dy: 0.333 0.667 0.000
Dy: 0.333 0.667 0.500
Dy: 0.667 0.333 0.000
Dy: 0.667 0.333 0.500
Sb: 0.000 0.392 0.750
Sb: 0.000 0.608 0.250
Sb: 0.392 0.000 0.750
Sb: 0.392 0.392 0.250
Sb: 0.608 0.000 0.250
Sb: 0.608 0.608 0.750


(2)
Computed, not measured: crystalline KHfHOF4 at its relaxed geometry at the PBE level of DFT.

The energy comes out at -6.315 eV/atom. As for the total magnetic moment: 0.0 μB/cell.

Cell lengths 4.970, 5.791, 7.294 Å; angles 90.00, 106.82, 90.00 degrees
Fractional coordinates of all 16 atoms:
K: 0.175 0.000 0.309
K: 0.825 0.500 0.691
Hf: 0.480 0.024 0.824
Hf: 0.520 0.524 0.176
H: 0.183 0.470 0.399
H: 0.817 0.970 0.601
O: 0.376 0.493 0.393
O: 0.624 0.993 0.607
F: 0.130 0.866 0.662
F: 0.149 0.661 0.039
F: 0.297 0.317 0.723
F: 0.412 0.191 0.072
F: 0.588 0.691 0.928
F: 0.703 0.817 0.277
F: 0.851 0.161 0.961
F: 0.870 0.366 0.338